First-principles (PBE with a Hubbard U) data for a relaxed structure of CoAg3Cl2F6, as listed in the Alexandria database.

Unit cell a=12.0953 b=6.3495 c=5.1045 alpha=90.00 beta=92.41 gamma=90.00
With the nearest neighbours (Å) after each atom.
Space group C2/m (No. 12)
Asymmetric unit:
Co 0.0000 0.0000 0.0000 [2 per cell]  6 F 1.84-1.87
Ag 0.0000 0.5000 0.5000 [2 per cell]  2 Cl 2.46, 4 F 2.52
Ag 0.2500 0.2500 0.0000 [4 per cell]  4 F 2.39-2.48, 2 Cl 2.45
Cl 0.1877 0.5000 0.3297 [4 per cell]  3 Ag 2.45-2.46
F 0.0676 0.2118 0.8070 [8 per cell]  1 Co 1.87
F 0.1257 0.0000 0.2153 [4 per cell]  1 Co 1.84

**N(E_F)**: 16.214 states/eV per cell
**E_tot**: -3.514 eV per atom
**Total magnetic moment**: 0.94 μB/f.u.